i:
# LiMnP2, relaxed, DFT PBE
data_LiMnP2
_chemical_formula_sum 'Li2 Mn2 P4'
_space_group_name_H-M_alt 'C m m 2'
_space_group_IT_number 35
_cell_length_a 3.4018
_cell_length_b 3.7006
_cell_length_c 9.7797
_cell_angle_alpha 90.00
_cell_angle_beta 90.00
_cell_angle_gamma 90.00
loop_
_space_group_symop_operation_xyz
'x,y,z'
'-x,-y,z'
'-x,y,z'
'x,-y,z'
'x+1/2,y+1/2,z'
'-x+1/2,-y+1/2,z'
'-x+1/2,y+1/2,z'
'x+1/2,-y+1/2,z'
loop_
_atom_site_label
_atom_site_fract_x
_atom_site_fract_y
_atom_site_fract_z
Li1 0.0000 0.0000 0.0000
Mn1 0.0000 0.5000 0.2358
P1 0.0000 0.0000 0.4129
P2 0.0000 0.5000 0.7989
# - M_tot (μB per formula unit) = 2.69
# - Fermi-level density of states (states/eV/atom) = 0.5508

---

ii:
# LiMnP2, relaxed, DFT PBE
data_LiMnP2
_chemical_formula_sum 'Li3 Mn3 P6'
_space_group_name_H-M_alt 'R -3 m'
_space_group_IT_number 166
_space_group_name_Hall '-R 3 2"'
_cell_length_a 2.9325
_cell_length_b 2.9325
_cell_length_c 21.8095
_cell_angle_alpha 90.00
_cell_angle_beta 90.00
_cell_angle_gamma 120.00
loop_
_atom_site_label
_atom_site_fract_x
_atom_site_fract_y
_atom_site_fract_z
Li1 0.0000 0.0000 0.0000
Mn1 0.0000 0.0000 0.5000
P1 0.0000 0.0000 0.2395
# - M_tot (μB per formula unit) = 1.37
# - Fermi-level density of states (states/eV/atom) = 0.4203

---

Relative calculated energies, zero for the most stable structure, unit kJ/mol of atoms: i 45.3; ii 0.0.

---

i:
# Li3MnP, relaxed, DFT PBE
data_Li3MnP
_chemical_formula_sum 'Li3 Mn1 P1'
_space_group_name_H-M_alt 'P m -3 m'
_space_group_IT_number 221
_space_group_name_Hall '-P 4 2 3'
_cell_length_a 4.6502
_cell_length_b 4.6502
_cell_length_c 4.6502
_cell_angle_alpha 90.00
_cell_angle_beta 90.00
_cell_angle_gamma 90.00
loop_
_atom_site_label
_atom_site_fract_x
_atom_site_fract_y
_atom_site_fract_z
Li1 0.0000 0.0000 0.5000
Mn1 0.5000 0.5000 0.5000
P1 0.0000 0.0000 0.0000
# - M_tot (μB per formula unit) = 4.99
# - Fermi-level density of states (states/eV/atom) = 0.3583

---

ii:
# Li3MnP, relaxed, DFT PBE
data_Li3MnP
_chemical_formula_sum 'Li3 Mn1 P1'
_space_group_name_H-M_alt 'P m -3 m'
_space_group_IT_number 221
_space_group_name_Hall '-P 4 2 3'
_cell_length_a 4.6607
_cell_length_b 4.6607
_cell_length_c 4.6607
_cell_angle_alpha 90.00
_cell_angle_beta 90.00
_cell_angle_gamma 90.00
loop_
_atom_site_label
_atom_site_fract_x
_atom_site_fract_y
_atom_site_fract_z
Li1 0.0000 0.0000 0.5000
Mn1 0.0000 0.0000 0.0000
P1 0.5000 0.5000 0.5000
# - M_tot (μB per formula unit) = 4.93
# - Fermi-level density of states (states/eV/atom) = 0.5128

---

Relative calculated energies, zero for the most stable structure, unit kJ/mol of atoms: i 0.0; ii 66.7.

---

i:
# Li4MnP, relaxed, DFT PBE
data_Li4MnP
_chemical_formula_sum 'Li8 Mn2 P2'
_space_group_name_H-M_alt 'C m m m'
_space_group_IT_number 65
_space_group_name_Hall '-C 2 2'
_cell_length_a 4.3000
_cell_length_b 7.4647
_cell_length_c 5.0795
_cell_angle_alpha 90.00
_cell_angle_beta 90.00
_cell_angle_gamma 90.00
loop_
_atom_site_label
_atom_site_fract_x
_atom_site_fract_y
_atom_site_fract_z
Li1 0.0000 0.1665 0.2404
Mn1 0.0000 0.5000 0.5000
P1 0.0000 0.5000 0.0000
# - M_tot (μB per formula unit) = 3.79
# - Fermi-level density of states (states/eV/atom) = 0.3681

---

ii:
# Li4MnP, relaxed, DFT PBE
data_Li4MnP
_chemical_formula_sum 'Li16 Mn4 P4'
_space_group_name_H-M_alt 'F -4 3 m'
_space_group_IT_number 216
_space_group_name_Hall 'F -4 2 3'
_cell_length_a 7.0064
_cell_length_b 7.0064
_cell_length_c 7.0064
_cell_angle_alpha 90.00
_cell_angle_beta 90.00
_cell_angle_gamma 90.00
loop_
_atom_site_label
_atom_site_fract_x
_atom_site_fract_y
_atom_site_fract_z
Li1 0.1255 0.1255 0.1255
Mn1 0.2500 0.2500 0.7500
P1 0.0000 0.0000 0.5000
# - M_tot (μB per formula unit) = 3.70
# - Fermi-level density of states (states/eV/atom) = 0.4699

---

Relative calculated energies, zero for the most stable structure, unit kJ/mol of atoms: i 0.0; ii 38.9.

---

i:
# LiMn3P, relaxed, DFT PBE
data_LiMn3P
_chemical_formula_sum 'Li1 Mn3 P1'
_space_group_name_H-M_alt 'P m -3 m'
_space_group_IT_number 221
_space_group_name_Hall '-P 4 2 3'
_cell_length_a 4.3972
_cell_length_b 4.3972
_cell_length_c 4.3972
_cell_angle_alpha 90.00
_cell_angle_beta 90.00
_cell_angle_gamma 90.00
loop_
_atom_site_label
_atom_site_fract_x
_atom_site_fract_y
_atom_site_fract_z
Li1 0.0000 0.0000 0.0000
Mn1 0.0000 0.5000 0.5000
P1 0.5000 0.5000 0.5000
# - M_tot (μB per formula unit) = 9.44
# - Fermi-level density of states (states/eV/atom) = 0.4730

---

ii:
# LiMn3P, relaxed, DFT PBE
data_LiMn3P
_chemical_formula_sum 'Li1 Mn3 P1'
_space_group_name_H-M_alt 'P m -3 m'
_space_group_IT_number 221
_space_group_name_Hall '-P 4 2 3'
_cell_length_a 4.2164
_cell_length_b 4.2164
_cell_length_c 4.2164
_cell_angle_alpha 90.00
_cell_angle_beta 90.00
_cell_angle_gamma 90.00
loop_
_atom_site_label
_atom_site_fract_x
_atom_site_fract_y
_atom_site_fract_z
Li1 0.0000 0.0000 0.0000
Mn1 0.0000 0.0000 0.5000
P1 0.5000 0.5000 0.5000
# - M_tot (μB per formula unit) = 10.85
# - Fermi-level density of states (states/eV/atom) = 0.5323

---

Relative calculated energies, zero for the most stable structure, unit kJ/mol of atoms: i 0.0; ii 68.8.

---

i:
# LiMnP3, relaxed, DFT PBE
data_LiMnP3
_chemical_formula_sum 'Li1 Mn1 P3'
_space_group_name_H-M_alt 'P m -3 m'
_space_group_IT_number 221
_space_group_name_Hall '-P 4 2 3'
_cell_length_a 4.2243
_cell_length_b 4.2243
_cell_length_c 4.2243
_cell_angle_alpha 90.00
_cell_angle_beta 90.00
_cell_angle_gamma 90.00
loop_
_atom_site_label
_atom_site_fract_x
_atom_site_fract_y
_atom_site_fract_z
Li1 0.0000 0.0000 0.0000
Mn1 0.5000 0.5000 0.5000
P1 0.0000 0.0000 0.5000
# - M_tot (μB per formula unit) = 0.07
# - Fermi-level density of states (states/eV/atom) = 1.2120

---

ii:
# LiMnP3, relaxed, DFT PBE
data_LiMnP3
_chemical_formula_sum 'Li1 Mn1 P3'
_space_group_name_H-M_alt 'P m -3 m'
_space_group_IT_number 221
_space_group_name_Hall '-P 4 2 3'
_cell_length_a 4.4575
_cell_length_b 4.4575
_cell_length_c 4.4575
_cell_angle_alpha 90.00
_cell_angle_beta 90.00
_cell_angle_gamma 90.00
loop_
_atom_site_label
_atom_site_fract_x
_atom_site_fract_y
_atom_site_fract_z
Li1 0.0000 0.0000 0.0000
Mn1 0.5000 0.5000 0.5000
P1 0.0000 0.5000 0.5000
# - M_tot (μB per formula unit) = 1.34
# - Fermi-level density of states (states/eV/atom) = 0.6167

---

Relative calculated energies, zero for the most stable structure, unit kJ/mol of atoms: i 93.0; ii 0.0.

---

i:
# LiMnPb3, relaxed, DFT PBE
data_LiMnPb3
_chemical_formula_sum 'Li1 Mn1 Pb3'
_space_group_name_H-M_alt 'P m -3 m'
_space_group_IT_number 221
_space_group_name_Hall '-P 4 2 3'
_cell_length_a 5.1361
_cell_length_b 5.1361
_cell_length_c 5.1361
_cell_angle_alpha 90.00
_cell_angle_beta 90.00
_cell_angle_gamma 90.00
loop_
_atom_site_label
_atom_site_fract_x
_atom_site_fract_y
_atom_site_fract_z
Li1 0.0000 0.0000 0.0000
Mn1 0.5000 0.5000 0.5000
Pb1 0.0000 0.0000 0.5000
# - M_tot (μB per formula unit) = 4.52
# - Fermi-level density of states (states/eV/atom) = 0.6895

---

ii:
# LiMnPb3, relaxed, DFT PBE
data_LiMnPb3
_chemical_formula_sum 'Li1 Mn1 Pb3'
_space_group_name_H-M_alt 'P m -3 m'
_space_group_IT_number 221
_space_group_name_Hall '-P 4 2 3'
_cell_length_a 5.2731
_cell_length_b 5.2731
_cell_length_c 5.2731
_cell_angle_alpha 90.00
_cell_angle_beta 90.00
_cell_angle_gamma 90.00
loop_
_atom_site_label
_atom_site_fract_x
_atom_site_fract_y
_atom_site_fract_z
Li1 0.0000 0.0000 0.0000
Mn1 0.5000 0.5000 0.5000
Pb1 0.0000 0.5000 0.5000
# - M_tot (μB per formula unit) = 2.78
# - Fermi-level density of states (states/eV/atom) = 0.5160

---

Relative calculated energies, zero for the most stable structure, unit kJ/mol of atoms: i 23.9; ii 0.0.